1.
Below is a relaxed YGaP2O crystal, with properties calculated at the PBE level.

Unit cell a=4.930 b=4.930 c=3.713 alpha=90.00 beta=90.00 gamma=90.00
Positions (direct):
Y1 0.000 0.000 0.000
Ga1 0.500 0.500 0.500
P1 0.000 0.500 0.500
P2 0.500 0.000 0.500
O1 0.500 0.500 0.000

Values from the calculation:
* total DFT energy (no corrections): -5.52 eV per atom
* distance to the lowest polymorph of the same formula: 0.0 meV/atom
* energy relative to the elements, uncorrected: -466 meV per atom
* symmetry: No. 123

2.
Below is a relaxed YGaP2O crystal, with properties calculated at the PBE level.

Unit cell a=5.468 b=5.468 c=4.245 alpha=90.00 beta=90.00 gamma=90.00
Positions (direct):
Y1 0.000 0.000 0.000
Ga1 0.500 0.500 0.500
P1 0.000 0.500 0.000
P2 0.500 0.000 0.000
O1 0.000 0.000 0.500

Values from the calculation:
* total DFT energy (no corrections): -5.14 eV per atom
* distance to the lowest polymorph of the same formula: 381.8 meV/atom
* energy relative to the elements, uncorrected: -84 meV per atom
* symmetry: No. 123

3.
Below is a relaxed ZnGa2PO6 crystal, with properties calculated at the PBE level.

Unit cell a=6.678 b=6.678 c=5.724 alpha=104.56 beta=104.56 gamma=94.41
Positions (direct):
Zn1 0.101 0.899 0.750
Zn2 0.899 0.101 0.250
Ga1 0.278 0.451 0.838
Ga2 0.451 0.278 0.338
Ga3 0.549 0.722 0.662
Ga4 0.722 0.549 0.162
P1 0.193 0.807 0.250
P2 0.807 0.193 0.750
O1 0.033 0.208 0.696
O2 0.117 0.669 0.932
O3 0.208 0.033 0.196
O4 0.311 0.450 0.526
O5 0.331 0.883 0.568
O6 0.450 0.311 0.026
O7 0.550 0.689 0.974
O8 0.669 0.117 0.432
O9 0.689 0.550 0.474
O10 0.792 0.967 0.804
O11 0.883 0.331 0.068
O12 0.967 0.792 0.304

Values from the calculation:
* total DFT energy (no corrections): -5.84 eV per atom
* energy relative to the elements, uncorrected: -1587 meV per atom
* symmetry: No. 15

4.
Below is a relaxed Zr2GaP3O12 crystal, with properties calculated at the PBE level.

Unit cell a=9.503 b=9.503 c=9.503 alpha=55.85 beta=55.85 gamma=55.85
Positions (direct):
Zr1 0.148 0.148 0.148
Zr2 0.352 0.352 0.352
Zr3 0.648 0.648 0.648
Zr4 0.852 0.852 0.852
Ga1 0.000 0.000 0.000
Ga2 0.500 0.500 0.500
P1 0.038 0.750 0.462
P2 0.250 0.538 0.962
P3 0.462 0.038 0.750
P4 0.538 0.962 0.250
P5 0.750 0.462 0.038
P6 0.962 0.250 0.538
O1 0.009 0.768 0.629
O2 0.068 0.921 0.292
O3 0.079 0.708 0.932
O4 0.129 0.268 0.509
O5 0.208 0.579 0.432
O6 0.232 0.371 0.991
O7 0.268 0.509 0.129
O8 0.292 0.068 0.921
O9 0.371 0.991 0.232
O10 0.421 0.568 0.792
O11 0.432 0.208 0.579
O12 0.491 0.871 0.732
O13 0.509 0.129 0.268
O14 0.568 0.792 0.421
O15 0.579 0.432 0.208
O16 0.629 0.009 0.768
O17 0.708 0.932 0.079
O18 0.732 0.491 0.871
O19 0.768 0.629 0.009
O20 0.792 0.421 0.568
O21 0.871 0.732 0.491
O22 0.921 0.292 0.068
O23 0.932 0.079 0.708
O24 0.991 0.232 0.371

Values from the calculation:
* total DFT energy (no corrections): -7.89 eV per atom
* energy relative to the elements, uncorrected: -2564 meV per atom
* symmetry: No. 167